PBE YZr2As, optimized geometry; energy of formation = -0.365 eV per atom; spin magnetization = 0.0000 μB/atom; calculated total energy = -0.545 Ry per atom
1.0
4.9127 0.0000 0.0000
0.0000 4.2376 0.0000
0.0000 0.0000 4.2376
Y As Zr
1 1 2
direct
0.5000 0.0000 0.5000 Y
0.5000 0.5000 0.0000 As
0.0000 0.0000 0.0000 Zr
0.0000 0.5000 0.5000 Zr

---

PBE HoGa4IrRu2, optimized geometry; energy of formation = -0.440 eV per atom; spin magnetization = 0.0000 μB/atom; calculated total energy = -0.437 Ry per atom
1.0
-2.6683 0.4752 3.2813
-0.0911 -2.9071 3.1069
4.9812 3.4702 6.3080
Ho Ga Ir Ru
1 4 1 2
direct
0.0000 0.0000 0.0000 Ho
0.3980 0.3980 0.8059 Ga
0.8695 0.8695 0.3915 Ga
0.1305 0.1305 0.6085 Ga
0.6020 0.6020 0.1941 Ga
0.5000 0.5000 0.5000 Ir
0.7601 0.7601 0.7197 Ru
0.2399 0.2399 0.2803 Ru

---

PBE Ac3Ag4Pt2, optimized geometry; energy of formation = -0.593 eV per atom; spin magnetization = 0.0000 μB/atom; calculated total energy = -0.336 Ry per atom
1.0
-4.4357 0.5324 0.4532
-2.7292 -5.5312 2.0314
-1.2609 0.7561 9.0168
Ac Ag Pt
3 4 2
direct
0.3149 0.7361 0.6341 Ac
0.0000 0.0000 0.0000 Ac
0.6851 0.2639 0.3659 Ac
0.2609 0.4003 0.0779 Ag
0.7391 0.5997 0.9221 Ag
0.0148 0.3281 0.6423 Ag
0.9852 0.6719 0.3577 Ag
0.3848 0.9609 0.2694 Pt
0.6152 0.0391 0.7306 Pt

---

PBE Cu4SBr2Cl, optimized geometry; uncorrected formation energy = -0.2846 eV per atom; spin magnetization = 0.0000 μB/atom; calculated total energy = -0.257 Ry per atom
1.0
6.4846 0.0000 0.0000
0.0000 6.7539 0.0000
0.0000 0.0000 7.7742
Cu S Br Cl
8 2 4 2
direct
0.3387 0.1462 0.0000 Cu
0.8387 0.8538 0.5000 Cu
0.3745 0.1398 0.5000 Cu
0.8745 0.8602 0.0000 Cu
0.3871 0.6913 0.7319 Cu
0.8871 0.3087 0.2319 Cu
0.8871 0.3087 0.7681 Cu
0.3871 0.6913 0.2681 Cu
0.5023 0.8386 0.5000 S
0.0023 0.1614 0.0000 S
0.5026 0.3363 0.2480 Br
0.5026 0.3363 0.7520 Br
0.0026 0.6637 0.7480 Br
0.0026 0.6637 0.2520 Br
0.0051 0.1669 0.5000 Cl
0.5051 0.8331 0.0000 Cl